Model P:
Below is an optimized crystal structure of Ho4TmTh3, with properties calculated at the PBE level.

Cell lengths 11.500, 7.136, 6.207 Å; angles 90.00, 90.00, 90.00 degrees
Fractional positions:
Ho (0.000, 0.127, 0.000)
Ho (0.000, 0.867, 0.502)
Ho (0.249, 0.128, 0.343)
Ho (0.251, 0.872, 0.843)
Ho (0.500, 0.133, 0.002)
Ho (0.500, 0.873, 0.500)
Ho (0.749, 0.872, 0.843)
Ho (0.751, 0.128, 0.343)
Tm (0.000, 0.375, 0.510)
Tm (0.500, 0.625, 0.010)
Th (0.000, 0.624, 0.008)
Th (0.250, 0.385, 0.833)
Th (0.250, 0.615, 0.333)
Th (0.500, 0.376, 0.508)
Th (0.750, 0.385, 0.833)
Th (0.750, 0.615, 0.333)

N(E_F): 1.56 states/eV per atom
M_tot: 0.000 μB per formula unit
Space group: No. 31

Model Q:
Below is an optimized crystal structure of Ho4TmTh3, with properties calculated at the PBE level.

Cell lengths 5.009, 10.041, 10.034 Å; angles 90.00, 90.00, 90.00 degrees
Fractional positions:
Ho (0.250, 0.001, 0.127)
Ho (0.250, 0.250, 0.874)
Ho (0.250, 0.499, 0.127)
Ho (0.250, 0.750, 0.871)
Ho (0.750, 0.250, 0.129)
Ho (0.750, 0.501, 0.873)
Ho (0.750, 0.750, 0.126)
Ho (0.750, 0.999, 0.873)
Tm (0.250, 0.750, 0.376)
Tm (0.750, 0.250, 0.624)
Th (0.250, 0.250, 0.376)
Th (0.250, 0.502, 0.623)
Th (0.250, 0.998, 0.623)
Th (0.750, 0.002, 0.377)
Th (0.750, 0.498, 0.377)
Th (0.750, 0.750, 0.624)

N(E_F): 1.39 states/eV per atom
M_tot: 0.000 μB per formula unit
Space group: No. 59

Q: What are the energies relative to the best structure? A: model P 1.4; model Q 0.0, in kJ/mol of atoms.